# LiTbPa2Se5 | the Alexandria database | PBE-GGA | optimized geometry
data_LiTbPa2Se5
_chemical_formula_sum 'Li4 Tb4 Pa8 Se20'
_space_group_name_H-M_alt 'C m c 21'
_space_group_IT_number 36
_cell_length_a 3.9651
_cell_length_b 17.0518
_cell_length_c 12.4820
_cell_angle_alpha 90.00
_cell_angle_beta 90.00
_cell_angle_gamma 90.00
loop_
_space_group_symop_operation_xyz
'x,y,z'
'-x,-y,z+1/2'
'-x,y,z'
'x,-y,z+1/2'
'x+1/2,y+1/2,z'
'-x+1/2,-y+1/2,z+1/2'
'-x+1/2,y+1/2,z'
'x+1/2,-y+1/2,z+1/2'
loop_
_atom_site_label
_atom_site_fract_x
_atom_site_fract_y
_atom_site_fract_z
Li1 0.0000 0.0148 0.0000
Tb1 0.0000 0.3023 0.5210
Pa1 0.0000 0.3711 0.8215
Pa2 0.0000 0.3909 0.2008
Se1 0.0000 0.0004 0.3059
Se2 0.0000 0.1356 0.5177
Se3 0.0000 0.1890 0.8583
Se4 0.0000 0.2128 0.1857
Se5 0.0000 0.4538 0.5997
# - Calculated density: 8.0 Mg/m³
# - Formation energy without anion corrections: -1.378 eV per atom